[1]
LiAcTl | GGA-PBE | optimized geometry

Summary:
DFT formation energy, eV/atom: -0.25
Energy above the most stable polymorph in this dataset, eV/atom: 0.046
D(E_F), states/eV per atom: 0.811
Electronic total energy, eV/cell: -36.5
Volume, Å³ per atom: 29.7

a b c (Å): 11.8085 5.1158 8.3524
angles (deg): 90.00 134.97 90.00
With the nearest neighbours (Å) after each atom.
Space group C2/m (No. 12)
Symmetry-distinct sites (fractional):
Li 0.0803 0.0000 0.2449 [4 per cell]  3 Tl 2.87-3.10, 1 Li 3.06
Ac 0.2372 0.0000 0.7816 [4 per cell]  4 Li 3.43-3.60, 6 Tl 3.46-3.69
Tl 0.0492 0.5000 0.3663 [4 per cell]  3 Li 2.87-3.10, 1 Tl 3.16

[2]
Li3AcTl | GGA-PBE | optimized geometry

Summary:
DFT formation energy, eV/atom: 0.01
Energy above the most stable polymorph in this dataset, eV/atom: 0.104
D(E_F), states/eV per atom: 0.562
Electronic total energy, eV/cell: -12.2
Volume, Å³ per atom: 26.7

a b c (Å): 5.1124 5.1124 5.1124
angles (deg): 90.00 90.00 90.00
With the nearest neighbours (Å) after each atom.
Space group Pm-3m (No. 221)
Symmetry-distinct sites (fractional):
Li 0.0000 0.0000 0.5000 [3 per cell]  2 Tl 2.56
Ac 0.5000 0.5000 0.5000 [1 per cell]  12 Li 3.61
Tl 0.0000 0.0000 0.0000 [1 per cell]  6 Li 2.56